## Zn3Ga3Ge (PBE)

Data for an optimized crystal structure of Zn3Ga3Ge.

Output
Energy relative to the elements in meV per atom: 542
Total moment in μB per atom: 0.000

Unit cell a=7.000 b=7.000 c=7.000 alpha=90.00 beta=90.00 gamma=90.00
Element x y z (fractional)
Ge 0.000 0.000 0.000
Ge 0.500 0.500 0.500
Zn 0.000 0.250 0.500
Zn 0.500 0.000 0.750
Zn 0.500 0.000 0.250
Zn 0.000 0.750 0.500
Zn 0.750 0.500 0.000
Zn 0.250 0.500 0.000
Ga 0.750 0.000 0.500
Ga 0.250 0.000 0.500
Ga 0.500 0.750 0.000
Ga 0.500 0.250 0.000
Ga 0.000 0.500 0.250
Ga 0.000 0.500 0.750